This record from the Alexandria database describes an optimized crystal structure of Nd4CdRh. The functional is PBE.

The value obtained for the formation energy is -322 meV/atom. The magnetization is 0.00 μB per cell. The value obtained for the calculated total energy is -4.88 eV/atom. For the energy above the most stable polymorph in this dataset, the calculation gives 61 kJ/mol of formula units. The calculation puts the density at 7.4 g/cm3.

It has space group C2/c (No. 15), with a = 8.9521 Å, b = 14.0251 Å, c = 6.1538 Å, α = 90.00°, β = 113.29° and γ = 90.00°. The inequivalent atoms are Nd at (0.1123, 0.1837, 0.0707), Nd at (0.2238, 0.4270, 0.3500), Cd at (0.0000, 0.3802, 0.7500) and Rh at (0.0000, 0.0010, 0.2500).